No. 1
Here is a relaxed SmMgNi2H6 crystal from Alexandria via LeMat-Bulk. Energies are from GGA-PBE.

abc: 5.802 5.802 5.802
angles: 44.80 44.80 44.80
Positions (direct):
Sm 0.000 0.000 0.000
Mg 0.500 0.500 0.500
Ni 0.210 0.210 0.210
Ni 0.790 0.790 0.790
H 0.061 0.568 0.568
H 0.432 0.432 0.939
H 0.432 0.939 0.432
H 0.568 0.061 0.568
H 0.568 0.568 0.061
H 0.939 0.432 0.432

## Properties
The calculation puts the total DFT energy (no corrections) at -4.09 eV/atom.

No. 2
Here is a relaxed Mg2NiSnH crystal from Alexandria via LeMat-Bulk. Energies are from GGA-PBE.

abc: 4.437 4.437 3.798
angles: 90.00 90.00 90.00
Positions (direct):
Mg 0.000 0.500 0.000
Mg 0.500 0.000 0.000
Ni 0.000 0.000 0.500
Sn 0.500 0.500 0.500
H 0.000 0.000 0.000

## Properties
The calculation puts the total DFT energy (no corrections) at -3.34 eV/atom.

No. 3
Here is a relaxed Sr2MgNiH6 crystal from Alexandria via LeMat-Bulk. Energies are from GGA-PBE.

abc: 5.439 5.439 4.819
angles: 90.00 90.00 120.00
Positions (direct):
Sr 0.333 0.667 0.295
Sr 0.667 0.333 0.705
Mg 0.000 0.000 0.000
Ni 0.000 0.000 0.500
H 0.155 0.310 0.716
H 0.155 0.845 0.716
H 0.310 0.155 0.284
H 0.690 0.845 0.716
H 0.845 0.155 0.284
H 0.845 0.690 0.284

## Properties
The calculation puts the total DFT energy (no corrections) at -3.39 eV/atom.

No. 4
Here is a relaxed SrMgNi2H8 crystal from Alexandria via LeMat-Bulk. Energies are from GGA-PBE.

abc: 6.290 6.290 6.290
angles: 43.75 43.75 43.75
Positions (direct):
Sr 0.000 0.000 0.000
Mg 0.500 0.500 0.500
Ni 0.197 0.197 0.197
Ni 0.803 0.803 0.803
H 0.093 0.850 0.413
H 0.150 0.587 0.907
H 0.290 0.290 0.290
H 0.413 0.093 0.850
H 0.587 0.907 0.150
H 0.710 0.710 0.710
H 0.850 0.413 0.093
H 0.907 0.150 0.587

## Properties
The calculation puts the total DFT energy (no corrections) at -3.59 eV/atom.

No. 5
Here is a relaxed Sr2MgNi3H12 crystal from Alexandria via LeMat-Bulk. Energies are from GGA-PBE.

abc: 6.023 6.023 6.023
angles: 61.80 61.80 61.80
Positions (direct):
Sr 0.117 0.117 0.117
Sr 0.883 0.883 0.883
Mg 0.500 0.500 0.500
Ni 0.000 0.500 0.500
Ni 0.500 0.000 0.500
Ni 0.500 0.500 0.000
H 0.113 0.608 0.608
H 0.196 0.196 0.598
H 0.196 0.598 0.196
H 0.392 0.392 0.887
H 0.392 0.887 0.392
H 0.402 0.804 0.804
H 0.598 0.196 0.196
H 0.608 0.113 0.608
H 0.608 0.608 0.113
H 0.804 0.402 0.804
H 0.804 0.804 0.402
H 0.887 0.392 0.392

## Properties
The calculation puts the total DFT energy (no corrections) at -3.73 eV/atom.

No. 6
Here is a relaxed SrMgNiH4 crystal from Alexandria via LeMat-Bulk. Energies are from GGA-PBE.

abc: 6.904 6.904 6.904
angles: 90.00 90.00 90.00
Positions (direct):
Sr 0.163 0.337 0.663
Sr 0.337 0.663 0.163
Sr 0.663 0.163 0.337
Sr 0.837 0.837 0.837
Mg 0.153 0.153 0.153
Mg 0.347 0.847 0.653
Mg 0.653 0.347 0.847
Mg 0.847 0.653 0.347
Ni 0.060 0.940 0.440
Ni 0.440 0.060 0.940
Ni 0.560 0.560 0.560
Ni 0.940 0.440 0.060
H 0.041 0.419 0.268
H 0.074 0.574 0.926
H 0.081 0.732 0.541
H 0.232 0.959 0.919
H 0.268 0.041 0.419
H 0.419 0.268 0.041
H 0.426 0.426 0.426
H 0.459 0.581 0.768
H 0.541 0.081 0.732
H 0.574 0.926 0.074
H 0.581 0.768 0.459
H 0.732 0.541 0.081
H 0.768 0.459 0.581
H 0.919 0.232 0.959
H 0.926 0.074 0.574
H 0.959 0.919 0.232

## Properties
The calculation puts the total DFT energy (no corrections) at -3.65 eV/atom.

No. 7
Here is a relaxed MgTcNi2H crystal from Alexandria via LeMat-Bulk. Energies are from GGA-PBE.

abc: 4.367 4.367 4.862
angles: 90.00 90.00 90.00
Positions (direct):
Mg 0.000 0.000 0.000
Tc 0.000 0.000 0.500
Ni 0.000 0.500 0.000
Ni 0.500 0.000 0.000
H 0.500 0.500 0.500

## Properties
The calculation puts the total DFT energy (no corrections) at -3.32 eV/atom.

No. 8
Here is a relaxed ThMgNi2H6 crystal from Alexandria via LeMat-Bulk. Energies are from GGA-PBE.

abc: 5.839 5.839 5.839
angles: 44.65 44.65 44.65
Positions (direct):
Th 0.000 0.000 0.000
Mg 0.500 0.500 0.500
Ni 0.211 0.211 0.211
Ni 0.789 0.789 0.789
H 0.068 0.563 0.563
H 0.437 0.437 0.932
H 0.437 0.932 0.437
H 0.563 0.068 0.563
H 0.563 0.563 0.068
H 0.932 0.437 0.437

## Properties
The calculation puts the total DFT energy (no corrections) at -4.40 eV/atom.

No. 9
Here is a relaxed ThMgNi2H8 crystal from Alexandria via LeMat-Bulk. Energies are from GGA-PBE.

abc: 6.692 6.692 6.692
angles: 39.27 39.27 39.27
Positions (direct):
Th 0.000 0.000 0.000
Mg 0.500 0.500 0.500
Ni 0.243 0.243 0.243
Ni 0.757 0.757 0.757
H 0.098 0.407 0.806
H 0.194 0.902 0.593
H 0.329 0.329 0.329
H 0.407 0.806 0.098
H 0.593 0.194 0.902
H 0.671 0.671 0.671
H 0.806 0.098 0.407
H 0.902 0.593 0.194

## Properties
The calculation puts the total DFT energy (no corrections) at -4.13 eV/atom.

No. 10
Here is a relaxed Mg2TlNiH crystal from Alexandria via LeMat-Bulk. Energies are from GGA-PBE.

abc: 4.729 4.729 3.437
angles: 90.00 90.00 90.00
Positions (direct):
Mg 0.000 0.500 0.000
Mg 0.500 0.000 0.000
Tl 0.000 0.000 0.500
Ni 0.500 0.500 0.500
H 0.500 0.500 0.000

## Properties
The calculation puts the total DFT energy (no corrections) at -2.96 eV/atom.

No. 11
Here is a relaxed TmMgNi2H8 crystal from Alexandria via LeMat-Bulk. Energies are from GGA-PBE.

abc: 6.004 6.004 6.004
angles: 44.99 44.99 44.99
Positions (direct):
Tm 0.000 0.000 0.000
Mg 0.500 0.500 0.500
Ni 0.231 0.231 0.231
Ni 0.769 0.769 0.769
H 0.089 0.809 0.410
H 0.191 0.590 0.911
H 0.325 0.325 0.325
H 0.410 0.089 0.809
H 0.590 0.911 0.191
H 0.675 0.675 0.675
H 0.809 0.410 0.089
H 0.911 0.191 0.590

## Properties
The calculation puts the total DFT energy (no corrections) at -3.83 eV/atom.

No. 12
Here is a relaxed Y2MgNiH crystal from Alexandria via LeMat-Bulk. Energies are from GGA-PBE.

abc: 5.045 5.045 3.633
angles: 90.00 90.00 90.00
Positions (direct):
Y 0.000 0.500 0.000
Y 0.500 0.000 0.000
Mg 0.000 0.000 0.500
Ni 0.500 0.500 0.500
H 0.500 0.500 0.000

## Properties
The calculation puts the total DFT energy (no corrections) at -4.98 eV/atom.

No. 13
Here is a relaxed YMgNi2H8 crystal from Alexandria via LeMat-Bulk. Energies are from GGA-PBE.

abc: 6.040 6.040 6.040
angles: 45.05 45.05 45.05
Positions (direct):
Y 0.000 0.000 0.000
Mg 0.500 0.500 0.500
Ni 0.228 0.228 0.228
Ni 0.772 0.772 0.772
H 0.090 0.414 0.809
H 0.191 0.910 0.586
H 0.321 0.321 0.321
H 0.414 0.809 0.090
H 0.586 0.191 0.910
H 0.679 0.679 0.679
H 0.809 0.090 0.414
H 0.910 0.586 0.191

## Properties
The calculation puts the total DFT energy (no corrections) at -4.00 eV/atom.

No. 14
Here is a relaxed Mg2NpH6 crystal from Alexandria via LeMat-Bulk. Energies are from GGA-PBE.

abc: 5.245 5.245 5.245
angles: 60.00 60.00 60.00
Positions (direct):
Mg 0.250 0.250 0.250
Mg 0.750 0.750 0.750
Np 0.000 0.000 0.000
H 0.279 0.279 0.721
H 0.279 0.721 0.279
H 0.279 0.721 0.721
H 0.721 0.279 0.279
H 0.721 0.279 0.721
H 0.721 0.721 0.279

## Properties
The calculation puts the total DFT energy (no corrections) at -3.53 eV/atom.

No. 15
Here is a relaxed Mg5Np3H12 crystal from Alexandria via LeMat-Bulk. Energies are from GGA-PBE.

abc: 10.598 10.598 10.598
angles: 109.47 109.47 109.47
Positions (direct):
Mg 0.000 0.000 0.000
Mg 0.000 0.000 0.500
Mg 0.000 0.500 0.000
Mg 0.000 0.500 0.500
Mg 0.125 0.750 0.875
Mg 0.125 0.875 0.250
Mg 0.250 0.125 0.875
Mg 0.250 0.625 0.375
Mg 0.375 0.250 0.625
Mg 0.375 0.625 0.750
Mg 0.500 0.000 0.000
Mg 0.500 0.000 0.500
Mg 0.500 0.500 0.000
Mg 0.500 0.500 0.500
Mg 0.625 0.375 0.250
Mg 0.625 0.750 0.375
Mg 0.750 0.375 0.625
Mg 0.750 0.875 0.125
Mg 0.875 0.125 0.750
Mg 0.875 0.250 0.125
Np 0.125 0.250 0.375
Np 0.125 0.375 0.750
Np 0.250 0.375 0.125
Np 0.250 0.875 0.625
Np 0.375 0.125 0.250
Np 0.375 0.750 0.125
Np 0.625 0.250 0.875
Np 0.625 0.875 0.750
Np 0.750 0.125 0.375
Np 0.750 0.625 0.875
Np 0.875 0.625 0.250
Np 0.875 0.750 0.625
H 0.048 0.219 0.135
H 0.048 0.328 0.913
H 0.085 0.719 0.672
H 0.085 0.865 0.413
H 0.087 0.635 0.415
H 0.087 0.952 0.672
H 0.135 0.048 0.219
H 0.135 0.587 0.915
H 0.172 0.219 0.585
H 0.172 0.452 0.587
H 0.219 0.135 0.048
H 0.219 0.585 0.172
H 0.281 0.328 0.915
H 0.281 0.452 0.365
H 0.328 0.913 0.048
H 0.328 0.915 0.281
H 0.365 0.281 0.452
H 0.365 0.585 0.913
H 0.413 0.085 0.865
H 0.413 0.828 0.548
H 0.415 0.087 0.635
H 0.415 0.828 0.781
H 0.452 0.365 0.281
H 0.452 0.587 0.172
H 0.548 0.413 0.828
H 0.548 0.635 0.719
H 0.585 0.172 0.219
H 0.585 0.913 0.365
H 0.587 0.172 0.452
H 0.587 0.915 0.135
H 0.635 0.415 0.087
H 0.635 0.719 0.548
H 0.672 0.085 0.719
H 0.672 0.087 0.952
H 0.719 0.548 0.635
H 0.719 0.672 0.085
H 0.781 0.415 0.828
H 0.781 0.865 0.952
H 0.828 0.548 0.413
H 0.828 0.781 0.415
H 0.865 0.413 0.085
H 0.865 0.952 0.781
H 0.913 0.048 0.328
H 0.913 0.365 0.585
H 0.915 0.135 0.587
H 0.915 0.281 0.328
H 0.952 0.672 0.087
H 0.952 0.781 0.865

## Properties
The calculation puts the total DFT energy (no corrections) at -4.41 eV/atom.

No. 16
Here is a relaxed MgNpH2O6 crystal from Alexandria via LeMat-Bulk. Energies are from GGA-PBE.

abc: 5.028 5.136 5.550
angles: 62.99 89.90 65.33
Positions (direct):
Mg 0.000 0.000 0.000
Np 0.500 0.000 0.500
H 0.112 0.515 0.763
H 0.888 0.485 0.237
O 0.069 0.515 0.240
O 0.268 0.852 0.748
O 0.386 0.867 0.270
O 0.614 0.133 0.730
O 0.732 0.148 0.252
O 0.931 0.485 0.760

## Properties
The calculation puts the total DFT energy (no corrections) at -6.97 eV/atom.

No. 17
Here is a relaxed Mg2NpHO6 crystal from Alexandria via LeMat-Bulk. Energies are from GGA-PBE.

abc: 5.407 5.427 5.431
angles: 88.91 68.73 60.69
Positions (direct):
Mg 0.000 0.000 0.000
Mg 0.149 0.412 0.415
Np 0.647 0.684 0.028
H 0.751 0.235 0.653
O 0.040 0.653 0.784
O 0.239 0.713 0.225
O 0.452 0.899 0.805
O 0.568 0.059 0.227
O 0.872 0.409 0.223
O 0.881 0.265 0.721

## Properties
The calculation puts the total DFT energy (no corrections) at -7.24 eV/atom.

No. 18
Here is a relaxed MgNpH8Pt2 crystal from Alexandria via LeMat-Bulk. Energies are from GGA-PBE.

abc: 6.469 6.469 6.469
angles: 43.43 43.43 43.43
Positions (direct):
Mg 0.000 0.000 0.000
Np 0.500 0.500 0.500
H 0.103 0.697 0.396
H 0.168 0.168 0.168
H 0.303 0.604 0.897
H 0.396 0.103 0.697
H 0.604 0.897 0.303
H 0.697 0.396 0.103
H 0.832 0.832 0.832
H 0.897 0.303 0.604
Pt 0.260 0.260 0.260
Pt 0.740 0.740 0.740

## Properties
The calculation puts the total DFT energy (no corrections) at -4.49 eV/atom.